Version A
First-principles (PBE-GGA) data for an optimized crystal structure of SmHo2Mn, as listed in the Alexandria database.

## Properties
DOS at the Fermi energy, states/eV per cell: 12.74

Structure (CIF):
```
data_SmHo2Mn
_chemical_formula_sum 'Sm3 Ho6 Mn3'
_symmetry_space_group_name_H-M 'R -3 m'
_symmetry_Int_Tables_number 166
_symmetry_space_group_name_Hall '-R 3 2"'
_cell_length_a 3.3998
_cell_length_b 3.3998
_cell_length_c 34.0041
_cell_angle_alpha 90.00
_cell_angle_beta 90.00
_cell_angle_gamma 120.00
loop_
_atom_site_label
_atom_site_fract_x
_atom_site_fract_y
_atom_site_fract_z
_atom_site_occupancy
Sm1 0.0000 0.0000 0.0000 1
Ho1 0.0000 0.0000 0.4191 1
Mn1 0.0000 0.0000 0.5000 1
```

Version B
First-principles (PBE-GGA) data for an optimized crystal structure of SmHo2Mn, as listed in the Alexandria database.

## Properties
DOS at the Fermi energy, states/eV per cell: 6.01

Structure (CIF):
```
data_SmHo2Mn
_chemical_formula_sum 'Sm1 Ho2 Mn1'
_symmetry_space_group_name_H-M 'P 4/m m m'
_symmetry_Int_Tables_number 123
_symmetry_space_group_name_Hall '-P 4 2'
_cell_length_a 3.5249
_cell_length_b 3.5249
_cell_length_c 8.7372
_cell_angle_alpha 90.00
_cell_angle_beta 90.00
_cell_angle_gamma 90.00
loop_
_atom_site_label
_atom_site_fract_x
_atom_site_fract_y
_atom_site_fract_z
_atom_site_occupancy
Sm1 0.0000 0.0000 0.0000 1
Ho1 0.5000 0.5000 0.3040 1
Mn1 0.0000 0.0000 0.5000 1
```

The structure with the least stability is version A.